# 1
LiIn2Ag: optimized geometry, GGA-PBE.

Lattice parameters (Å, degrees): 3.099 3.099 8.638 90.00 90.00 90.01
Sites, in units of the cell vectors:
1 Ag 0.500 0.500 0.750
2 Li 0.500 0.500 0.250
3 In 0.000 0.000 0.501
4 In 0.000 0.000 0.999

---

# 2
NdTh2PaC4: optimized geometry, GGA-PBE.

Lattice parameters (Å, degrees): 3.731 6.453 6.457 70.59 90.00 90.00
Sites, in units of the cell vectors:
1 C 0.000 0.746 0.731
2 C 0.000 0.254 0.269
3 C 0.500 0.262 0.732
4 C 0.500 0.738 0.268
5 Th 0.000 0.000 0.000
6 Th 0.500 0.000 0.500
7 Pa 0.000 0.500 0.500
8 Nd 0.500 0.500 0.000

---

# 3
Pr2Al2Pt5Au: optimized geometry, GGA-PBE.

Lattice parameters (Å, degrees): 3.740 10.035 10.035 90.00 90.00 90.00
Sites, in units of the cell vectors:
1 Pt 0.500 0.712 0.442
2 Pt 0.500 0.442 0.288
3 Pt 0.500 0.058 0.788
4 Pt 0.500 0.500 0.000
5 Pt 0.500 0.212 0.058
6 Pt 0.500 0.788 0.942
7 Pt 0.500 0.288 0.558
8 Pt 0.500 0.558 0.712
9 Pt 0.500 0.000 0.500
10 Pt 0.500 0.942 0.212
11 Au 0.000 0.500 0.500
12 Au 0.000 0.000 0.000
13 Pr 0.000 0.318 0.818
14 Pr 0.000 0.182 0.318
15 Pr 0.000 0.682 0.182
16 Pr 0.000 0.818 0.682
17 Al 0.000 0.117 0.617
18 Al 0.000 0.883 0.383
19 Al 0.000 0.617 0.883
20 Al 0.000 0.383 0.117

---

# 4
Sc2CrRh: optimized geometry, GGA-PBE.

Lattice parameters (Å, degrees): 4.607 4.592 5.642 35.60 90.00 90.00
Site moments in Bohr magnetons follow the coordinates.
Sites, in units of the cell vectors:
1 Sc 0.500 0.500 0.000  -0.05
2 Sc 0.000 0.000 0.000  -0.05
3 Rh 0.000 0.000 0.500  0.01
4 Cr 0.500 0.500 0.500  2.76

---

Number 1: electronic total energy -10.76 eV per cell. Number 2: electronic total energy -67.79 eV per cell. Number 3: electronic total energy -117.17 eV per cell. Number 4: electronic total energy -31.14 eV per cell.